A | Here is a relaxed structure of YNb3N from Alexandria. Energies are from GGA-PBE.

CIF file:
```
data_YNb3N
_cell_length_a 4.912
_cell_length_b 4.912
_cell_length_c 4.912
_cell_angle_alpha 90.00
_cell_angle_beta 90.00
_cell_angle_gamma 90.00
_symmetry_space_group_name_H-M 'P m -3 m'
_symmetry_Int_Tables_number 221
_symmetry_space_group_name_Hall '-P 4 2 3'
loop_
_atom_site_label
_atom_site_type_symbol
_atom_site_fract_x
_atom_site_fract_y
_atom_site_fract_z
_atom_site_occupancy
Y1 Y 0.000 0.000 0.000 1
Nb1 Nb 0.000 0.000 0.500 1
N1 N 0.500 0.500 0.500 1
```

***

B | Here is a relaxed structure of YNb3N from Alexandria. Energies are from GGA-PBE.

CIF file:
```
data_YNb3N
_cell_length_a 4.428
_cell_length_b 4.428
_cell_length_c 4.428
_cell_angle_alpha 90.00
_cell_angle_beta 90.00
_cell_angle_gamma 90.00
_symmetry_space_group_name_H-M 'P m -3 m'
_symmetry_Int_Tables_number 221
_symmetry_space_group_name_Hall '-P 4 2 3'
loop_
_atom_site_label
_atom_site_type_symbol
_atom_site_fract_x
_atom_site_fract_y
_atom_site_fract_z
_atom_site_occupancy
Y1 Y 0.000 0.000 0.000 1
Nb1 Nb 0.000 0.500 0.500 1
N1 N 0.500 0.500 0.500 1
```

***

Stability summary: most stable B, least stable A.

***

A | Here is a relaxed structure of Y3NbN from Alexandria. Energies are from GGA-PBE.

CIF file:
```
data_Y3NbN
_cell_length_a 4.821
_cell_length_b 4.821
_cell_length_c 4.821
_cell_angle_alpha 90.00
_cell_angle_beta 90.00
_cell_angle_gamma 90.00
_symmetry_space_group_name_H-M 'P m -3 m'
_symmetry_Int_Tables_number 221
_symmetry_space_group_name_Hall '-P 4 2 3'
loop_
_atom_site_label
_atom_site_type_symbol
_atom_site_fract_x
_atom_site_fract_y
_atom_site_fract_z
_atom_site_occupancy
Y1 Y 0.000 0.000 0.500 1
Nb1 Nb 0.500 0.500 0.500 1
N1 N 0.000 0.000 0.000 1
```

***

B | Here is a relaxed structure of Y3NbN from Alexandria. Energies are from GGA-PBE.

CIF file:
```
data_Y3NbN
_cell_length_a 5.317
_cell_length_b 5.317
_cell_length_c 5.317
_cell_angle_alpha 90.00
_cell_angle_beta 90.00
_cell_angle_gamma 90.00
_symmetry_space_group_name_H-M 'P m -3 m'
_symmetry_Int_Tables_number 221
_symmetry_space_group_name_Hall '-P 4 2 3'
loop_
_atom_site_label
_atom_site_type_symbol
_atom_site_fract_x
_atom_site_fract_y
_atom_site_fract_z
_atom_site_occupancy
Y1 Y 0.000 0.000 0.500 1
Nb1 Nb 0.000 0.000 0.000 1
N1 N 0.500 0.500 0.500 1
```

***

Stability summary: most stable A, least stable B.